# Ba2MgAs

A relaxed structure of Ba2MgAs (GGA-PBE, the Alexandria database).

## Properties
The calculation puts the final energy at -0.1047 Ha/atom. The calculated volume comes out at 155.33 Å³/f.u.

a = 4.0323 Å, b = 4.0323 Å, c = 9.6487 Å
α = 90.00°, β = 90.00°, γ = 98.06°
Closest atoms and distances in Å follow each position.
Element x y z (fractional)
As 0.5000 0.5000 0.6947  2 Mg 2.90
Ba 0.0000 0.0000 0.9049  1 Mg 3.21, 2 As 3.33
Ba 0.5000 0.5000 0.3281  1 As 3.54, 4 Mg 3.54-3.85
Mg 0.0000 0.0000 0.5723  2 As 2.90, 1 Ba 3.21